#one
Entry from Alexandria: a relaxed IrPt2W crystal (PBEsol).

The structure belongs to space group Pmm2 (No. 25); the cell edges are 2.7424, 3.9002 and 5.5332 Å and the angles 90.00°, 90.00° and 90.00°. Symmetry generates all atoms from Ir at (0.0000, 0.0000, 0.0000), Pt at (0.0000, 0.0000, 0.5128), Pt at (0.5000, 0.5000, 0.2580) and W at (0.5000, 0.5000, 0.7678).

The calculation puts the density of states at the Fermi level at 2.9 states/eV/f.u.


#two
Entry from Alexandria: a relaxed IrPt2W crystal (PBEsol).

The structure belongs to space group I-4m2 (No. 119); the cell edges are 3.8990, 3.8990 and 7.7676 Å and the angles 90.00°, 90.00° and 90.00°. Symmetry generates all atoms from Ir at (0.0000, 0.0000, 0.0000), Pt at (0.0000, 0.0000, 0.5000), Pt at (0.0000, 0.5000, 0.7500) and W at (0.0000, 0.5000, 0.2500).

The calculation puts the density of states at the Fermi level at 3.0 states/eV/f.u.


Most stable: #two (next structure +11 meV per atom)


#one
Entry from Alexandria: a relaxed IrPtW2 crystal (PBEsol).

The structure belongs to space group Pmm2 (No. 25); the cell edges are 2.7453, 4.4498 and 4.8665 Å and the angles 90.00°, 90.00° and 90.00°. Symmetry generates all atoms from Ir at (0.0000, 0.0000, 0.0000), Pt at (0.0000, 0.5000, 0.6591), W at (0.5000, 0.0000, 0.4978) and W at (0.5000, 0.5000, 0.1603).

The calculation puts the density of states at the Fermi level at 1.9 states/eV/f.u.


#two
Entry from Alexandria: a relaxed IrPtW2 crystal (PBEsol).

The structure belongs to space group F-43m (No. 216); the cell edges are 6.2409, 6.2409 and 6.2409 Å and the angles 90.00°, 90.00° and 90.00°. Symmetry generates all atoms from Ir at (0.0000, 0.0000, 0.0000), Pt at (0.2500, 0.2500, 0.7500), W at (0.0000, 0.0000, 0.5000) and W at (0.2500, 0.2500, 0.2500).

The calculation puts the density of states at the Fermi level at 3.9 states/eV/f.u.


Most stable: #one (next structure +432 meV per atom)


#one
Entry from Alexandria: a relaxed Ir2PtW crystal (PBEsol).

The structure belongs to space group C2/m (No. 12); the cell edges are 5.4595, 9.2362 and 2.7175 Å and the angles 90.00°, 119.76° and 90.00°. Symmetry generates all atoms from Ir at (0.2500, 0.2500, 0.0000), Pt at (0.0000, 0.0000, 0.5000) and W at (0.0000, 0.5000, 0.5000).

The calculation puts the density of states at the Fermi level at 2.5 states/eV/f.u.


#two
Entry from Alexandria: a relaxed Ir2PtW crystal (PBEsol).

The structure belongs to space group P4mm (No. 99); the cell edges are 3.3430, 3.3430 and 5.3729 Å and the angles 90.00°, 90.00° and 90.00°. Symmetry generates all atoms from Ir at (0.0000, 0.0000, 0.0000), Ir at (0.5000, 0.5000, 0.2377), Pt at (0.0000, 0.0000, 0.4920) and W at (0.5000, 0.5000, 0.7586).

The calculation puts the density of states at the Fermi level at 3.6 states/eV/f.u.


#three
Entry from Alexandria: a relaxed Ir2PtW crystal (PBEsol).

The structure belongs to space group Cmmm (No. 65); the cell edges are 5.4894, 7.6910 and 2.7614 Å and the angles 90.00°, 90.00° and 90.00°. Symmetry generates all atoms from Ir at (0.2500, 0.2500, 0.0000), Pt at (0.0000, 0.0000, 0.5000) and W at (0.0000, 0.5000, 0.5000).

The calculation puts the density of states at the Fermi level at 3.2 states/eV/f.u.


#four
Entry from Alexandria: a relaxed Ir2PtW crystal (PBEsol).

The structure belongs to space group R-3m (No. 166, hexagonal axes); the cell edges are 2.7396, 2.7396 and 27.1365 Å and the angles 90.00°, 90.00° and 120.00°. Symmetry generates all atoms from Ir at (0.0000, 0.0000, 0.2471), Pt at (0.0000, 0.0000, 0.0000) and W at (0.0000, 0.0000, 0.5000).

The calculation puts the density of states at the Fermi level at 3.4 states/eV/f.u.


Most stable: #three (next structure +15 meV per atom)


#one
Entry from Alexandria: a relaxed ReIr5 crystal (PBEsol).

The structure belongs to space group Cmmm (No. 65); the cell edges are 3.8345, 11.4881 and 3.8447 Å and the angles 90.00°, 90.00° and 90.00°. Symmetry generates all atoms from Re at (0.0000, 0.0000, 0.0000), Ir at (0.0000, 0.1657, 0.5000), Ir at (0.0000, 0.3389, 0.0000) and Ir at (0.0000, 0.5000, 0.5000).

The calculation puts the density of states at the Fermi level at 4.7 states/eV/f.u.


#two
Entry from Alexandria: a relaxed ReIr5 crystal (PBEsol).

The structure belongs to space group Cm (No. 8); the cell edges are 9.9748, 2.7306 and 6.4350 Å and the angles 90.00°, 104.30° and 90.00°. Symmetry generates all atoms from Re at (0.0000, 0.0000, 0.0000), Ir at (0.1093, 0.5000, 0.7233), Ir at (0.1634, 0.5000, 0.3255), Ir at (0.2794, 0.0000, 0.0533), Ir at (0.3360, 0.0000, 0.6699) and Ir at (0.4452, 0.5000, 0.3875).

The calculation puts the density of states at the Fermi level at 5.1 states/eV/f.u.


Most stable: #one (next structure +34 meV per atom)


#one
Entry from Alexandria: a relaxed ReIr5 crystal (PBEsol).

The structure belongs to space group Amm2 (No. 38); the cell edges are 4.3707, 2.7334 and 14.2053 Å and the angles 90.00°, 90.00° and 90.00°. Symmetry generates all atoms from Re at (0.0000, 0.0000, 0.0000), Ir at (0.0000, 0.0000, 0.3364), Ir at (0.0000, 0.0000, 0.6651), Ir at (0.5000, 0.0000, 0.2239), Ir at (0.5000, 0.0000, 0.5563) and Ir at (0.5000, 0.0000, 0.8891).

The calculation puts the density of states at the Fermi level at 4.9 states/eV/f.u.


#two
Entry from Alexandria: a relaxed ReIr5 crystal (PBEsol).

The structure belongs to space group P4/mmm (No. 123); the cell edges are 2.7113, 2.7113 and 11.5271 Å and the angles 90.00°, 90.00° and 90.00°. Symmetry generates all atoms from Re at (0.0000, 0.0000, 0.0000), Ir at (0.0000, 0.0000, 0.3362), Ir at (0.5000, 0.5000, 0.1642) and Ir at (0.5000, 0.5000, 0.5000).

The calculation puts the density of states at the Fermi level at 4.4 states/eV/f.u.


Most stable: #one (next structure +9 meV per atom)


#one
Entry from Alexandria: a relaxed ReIr crystal (PBEsol).

The structure belongs to space group Pmmn (No. 59, origin choice 2); the cell edges are 2.7415, 4.3397 and 4.7804 Å and the angles 90.00°, 90.00° and 90.00°. Symmetry generates all atoms from Re at (0.2500, 0.2500, 0.0892) and Ir at (0.2500, 0.7500, 0.4204).

The calculation puts the density of states at the Fermi level at 1.0 states/eV/f.u.


#two
Entry from Alexandria: a relaxed ReIr crystal (PBEsol).

The structure belongs to space group Pm-3m (No. 221); the cell edges are 3.0861, 3.0861 and 3.0861 Å and the angles 90.00°, 90.00° and 90.00°. Symmetry generates all atoms from Re at (0.0000, 0.0000, 0.0000) and Ir at (0.5000, 0.5000, 0.5000).

The calculation puts the density of states at the Fermi level at 3.1 states/eV/f.u.


Most stable: #one (next structure +820 meV per atom)